P | 12
Lattice="3.2572 0.0000 0.0000 -1.6286 2.8208 0.0000 0.0000 0.0000 25.2187" Properties=species:S:1:pos:R:3 comment="PBEsol AlTlAu2, optimized geometry" n_ef_per_ev_cell=5.8 vol_a3_per_cell=231.71 space_group=R-3m pbc="T T T"
Al 0.0000 0.0000 0.0000
Al 0.0000 1.8805 16.8125
Al 1.6286 0.9403 8.4062
Tl 0.0000 0.0000 12.6093
Tl 0.0000 1.8805 4.2031
Tl 1.6286 0.9403 21.0156
Au 0.0000 0.0000 6.6174
Au 0.0000 0.0000 18.6013
Au 0.0000 1.8805 10.1950
Au 0.0000 1.8805 23.4299
Au 1.6286 0.9403 1.7888
Au 1.6286 0.9403 15.0237

=====

Q | 4
Lattice="3.0825 0.0000 0.0000 0.0000 3.0825 0.0000 0.0000 0.0000 8.0329" Properties=species:S:1:pos:R:3 comment="PBEsol AlTlAu2, optimized geometry" n_ef_per_ev_cell=1.4 vol_a3_per_cell=76.33 space_group=P4/mmm pbc="T T T"
Al 0.0000 0.0000 0.0000
Tl 0.0000 0.0000 4.0165
Au 1.5413 1.5413 1.5541
Au 1.5413 1.5413 6.4788

=====

Q wins, 0.030 eV/atom ahead of the next structure.

=====

P | 5
Lattice="3.8505 0.0000 0.0000 0.0000 3.8505 0.0000 0.0000 0.0000 3.8505" Properties=species:S:1:pos:R:3 comment="PBEsol AlCuB3, optimized geometry" n_ef_per_ev_cell=1.5 vol_a3_per_cell=57.09 space_group=Pm-3m pbc="T T T"
Al 0.0000 0.0000 0.0000
Cu 1.9253 1.9253 1.9253
B 0.0000 1.9253 1.9253
B 1.9253 0.0000 1.9253
B 1.9253 1.9253 0.0000

=====

Q | 5
Lattice="4.0647 0.0000 0.0000 0.0000 4.0647 0.0000 0.0000 0.0000 4.0647" Properties=species:S:1:pos:R:3 comment="PBEsol AlCuB3, optimized geometry" n_ef_per_ev_cell=2.7 vol_a3_per_cell=67.16 space_group=Pm-3m pbc="T T T"
Al 0.0000 0.0000 0.0000
Cu 2.0324 2.0324 2.0324
B 0.0000 0.0000 2.0324
B 0.0000 2.0324 0.0000
B 2.0324 0.0000 0.0000

=====

P wins, 0.537 eV/atom ahead of the next structure.

=====

P | 5
Lattice="3.7666 0.0000 0.0000 0.0000 3.7666 0.0000 0.0000 0.0000 3.7666" Properties=species:S:1:pos:R:3 comment="PBEsol AlFe3B, optimized geometry" n_ef_per_ev_cell=3.7 vol_a3_per_cell=53.44 space_group=Pm-3m pbc="T T T"
Al 0.0000 0.0000 0.0000
Fe 0.0000 1.8833 1.8833
Fe 1.8833 0.0000 1.8833
Fe 1.8833 1.8833 0.0000
B 1.8833 1.8833 1.8833

=====

Q | 5
Lattice="4.1657 0.0000 0.0000 0.0000 4.1657 0.0000 0.0000 0.0000 4.1657" Properties=species:S:1:pos:R:3 comment="PBEsol AlFe3B, optimized geometry" n_ef_per_ev_cell=8.9 vol_a3_per_cell=72.29 space_group=Pm-3m pbc="T T T"
Al 0.0000 0.0000 0.0000
Fe 0.0000 0.0000 2.0828
Fe 0.0000 2.0828 0.0000
Fe 2.0828 0.0000 0.0000
B 2.0828 2.0828 2.0828

=====

P wins, 2.120 eV/atom ahead of the next structure.

=====

P | 62
Lattice="7.1732 0.0000 0.0000 -2.6215 6.6793 0.0000 -2.3684 -3.2503 10.1891" Properties=species:S:1:pos:R:3 comment="PBEsol MgAl2B28, optimized geometry" vol_a3_per_cell=488.18 space_group=P1 pbc="T T T"
Mg 0.0000 0.0000 0.0000
Mg 2.3267 0.4423 2.9104
Al -2.4904 2.9034 3.9352
Al -1.1484 2.1843 6.6551
Al 3.2893 3.5462 1.2461
Al 4.4905 -0.5237 7.1174
B -1.5610 2.9237 1.8412
B -0.8077 2.4856 0.2851
B -1.5516 4.1517 0.5436
B -2.4835 5.5207 3.1197
B -0.3962 0.5270 2.8315
B -2.8599 5.0697 4.8275
B -1.0900 1.0791 4.3942
B -0.9979 -0.2075 5.6102
B -2.0630 1.2037 8.2849
B -1.2435 4.6686 2.2675
B -0.0418 1.9778 1.8932
B -2.0861 3.8049 5.7444
B -2.3243 0.6912 9.9128
B -0.4105 -2.6533 8.5649
B 0.3579 0.0217 4.4325
B -0.6275 0.2275 7.2928
B -0.3372 3.3472 3.0988
B -0.2566 5.3028 0.9194
B -0.6028 2.7854 4.7311
B 0.9570 2.6343 0.5432
B -1.6190 2.9279 8.6520
B -1.6732 4.2636 7.3847
B 0.1931 -1.0074 8.1815
B 0.3381 -3.1653 10.1829
B -0.1726 -1.4646 9.8784
B 1.2286 3.1439 2.2650
B 0.5157 4.7888 2.5236
B 1.2661 4.3906 0.9353
B 0.8209 1.2509 6.9529
B 1.5740 0.8649 5.3699
B 0.8675 2.5238 5.6315
B -0.1028 3.8506 8.2119
B -0.4582 3.3949 9.9137
B 2.0484 -1.1336 7.9294
B 3.7660 1.3939 0.5108
B 1.3484 -0.5301 9.4472
B 1.1301 3.0072 7.3591
B 2.3341 0.3471 6.9703
B 2.7134 2.8740 3.1795
B 2.6985 5.3953 0.6096
B 2.4383 2.3373 4.8235
B 4.3553 -1.0412 3.4560
B 2.7730 -1.6359 9.5388
B 2.0323 1.6902 8.1868
B 4.1793 1.8610 2.1706
B 3.3255 0.9916 5.6392
B 1.7701 1.1644 9.8016
B 2.1418 3.6958 6.0570
B 3.1707 4.5901 3.5055
B 3.1258 5.8646 2.2586
B 4.9686 0.5873 3.0780
B 5.1099 -1.5436 5.0652
B 4.5776 0.1312 4.7807
B 3.6128 1.5364 7.3647
B 2.8997 3.1757 7.6317
B 3.6695 2.7389 6.0658

=====

Q | 31
Lattice="4.9486 -5.0995 0.0000 4.9486 5.0995 0.0000 -3.4343 0.0000 4.7545" Properties=species:S:1:pos:R:3 comment="PBEsol MgAl2B28, optimized geometry" vol_a3_per_cell=239.97 space_group=Cm pbc="T T T"
Mg 0.0000 0.0000 0.0000
Al -0.2494 0.0000 4.0198
Al 3.3185 0.0000 3.8052
B 0.9624 1.9081 1.4260
B -1.3986 1.9187 4.7019
B 3.0876 3.2186 2.9634
B 4.1591 3.2153 1.4977
B 1.9904 1.7538 2.8559
B 3.7359 1.7660 0.5235
B 2.4069 0.8674 1.3482
B 3.7241 1.6767 2.2938
B 1.6009 1.0059 4.3935
B 0.9624 -1.9081 1.4260
B -1.3986 -1.9187 4.7019
B 2.4069 -0.8674 1.3482
B 6.3433 1.6495 0.6440
B 1.9904 -1.7538 2.8559
B 1.6009 -1.0059 4.3935
B 3.7359 -1.7660 0.5235
B 5.0208 0.9824 3.2391
B 6.3365 1.7104 2.4218
B 8.0628 1.7312 0.0548
B 3.7241 -1.6767 2.2938
B 7.6543 0.8480 1.5735
B 5.0208 -0.9824 3.2391
B 3.0876 -3.2186 2.9634
B 4.1591 -3.2153 1.4977
B 6.3433 -1.6495 0.6440
B 7.6543 -0.8480 1.5735
B 6.3365 -1.7104 2.4218
B 8.0628 -1.7312 0.0548

=====

P wins, 0.021 eV/atom ahead of the next structure.

=====

P | 5
Lattice="4.0730 0.0000 0.0000 0.0000 4.0730 0.0000 0.0000 0.0000 4.0730" Properties=species:S:1:pos:R:3 comment="PBEsol AlB3Pd, optimized geometry" n_ef_per_ev_cell=2.5 vol_a3_per_cell=67.57 space_group=Pm-3m pbc="T T T"
Al 0.0000 0.0000 0.0000
B 0.0000 2.0365 2.0365
B 2.0365 0.0000 2.0365
B 2.0365 2.0365 0.0000
Pd 2.0365 2.0365 2.0365

=====

Q | 5
Lattice="4.0460 0.0000 0.0000 0.0000 4.0460 0.0000 0.0000 0.0000 4.0460" Properties=species:S:1:pos:R:3 comment="PBEsol AlB3Pd, optimized geometry" n_ef_per_ev_cell=2.4 vol_a3_per_cell=66.24 space_group=Pm-3m pbc="T T T"
Al 0.0000 0.0000 0.0000
B 0.0000 0.0000 2.0230
B 0.0000 2.0230 0.0000
B 2.0230 0.0000 0.0000
Pd 2.0230 2.0230 2.0230

=====

P wins, 0.488 eV/atom ahead of the next structure.

=====

P | 9
Lattice="-6.1474 6.1474 2.1530 6.1474 -6.1474 2.1530 6.1474 6.1474 -2.1530" Properties=species:S:1:pos:R:3 comment="PBEsol Ba4Al5, optimized geometry" n_ef_per_ev_cell=8.1 vol_a3_per_cell=325.45 space_group=I4/mmm pbc="T T T"
Ba 3.5356 0.0000 0.0000
Ba 8.7591 0.0000 0.0000
Ba 0.0000 3.5356 0.0000
Ba 0.0000 8.7591 0.0000
Al 0.0000 0.0000 0.0000
Al 4.7944 4.7944 0.0000
Al 1.3529 -1.3529 2.1530
Al -1.3529 1.3529 2.1530
Al 1.3529 1.3529 2.1530

=====

Q | 18
Lattice="6.0225 0.0000 0.0000 -3.0112 5.2156 0.0000 0.0000 0.0000 17.6855" Properties=species:S:1:pos:R:3 comment="PBEsol Ba4Al5, optimized geometry" n_ef_per_ev_cell=12.0 vol_a3_per_cell=555.52 space_group=P6_3/mmc pbc="T T T"
Ba 0.0000 0.0000 2.5169
Ba 0.0000 0.0000 6.3258
Ba 0.0000 0.0000 11.3596
Ba 0.0000 0.0000 15.1685
Ba 0.0000 3.4771 1.2583
Ba 0.0000 3.4771 7.5844
Ba 3.0112 1.7385 10.1010
Ba 3.0112 1.7385 16.4272
Al -1.4294 2.6518 4.4214
Al 0.0000 3.4771 11.2362
Al 0.0000 3.4771 15.2920
Al 1.4293 2.6518 4.4214
Al 0.0000 5.1275 4.4214
Al 3.0112 0.0881 13.2641
Al 1.5819 2.5638 13.2641
Al 3.0112 1.7385 2.3935
Al 3.0112 1.7385 6.4493
Al 4.4406 2.5638 13.2641

=====

Q wins, 0.230 eV/atom ahead of the next structure.

=====

P | 3
Lattice="4.0407 0.0000 0.0000 -2.0204 3.4994 0.0000 0.0000 0.0000 7.2430" Properties=species:S:1:pos:R:3 comment="PBEsol BaAlBr, optimized geometry" n_ef_per_ev_cell=2.5 vol_a3_per_cell=102.41 space_group=P3m1 pbc="T T T"
Ba 0.0000 0.0000 0.0000
Al 2.0204 1.1665 2.5390
Br 0.0000 2.3329 4.9933

=====

Q | 6
Lattice="4.4440 0.0000 0.0000 0.0000 4.4440 0.0000 0.0000 0.0000 10.3886" Properties=species:S:1:pos:R:3 comment="PBEsol BaAlBr, optimized geometry" n_ef_per_ev_cell=4.4 vol_a3_per_cell=205.17 space_group=I4mm pbc="T T T"
Ba 0.0000 0.0000 0.0000
Ba 2.2220 2.2220 5.1943
Al 0.0000 0.0000 6.8871
Al 2.2220 2.2220 1.6928
Br 0.0000 0.0000 4.2015
Br 2.2220 2.2220 9.3958

=====

Q wins, 0.138 eV/atom ahead of the next structure.

=====

P | 8
Lattice="9.0953 0.0000 0.0000 0.0000 3.0300 0.0000 -0.6408 0.0000 6.1503" Properties=species:S:1:pos:R:3 comment="PBEsol BaAlCr2, optimized geometry" n_ef_per_ev_cell=8.8 vol_a3_per_cell=169.49 space_group=C2/m pbc="T T T"
Ba 0.0000 0.0000 0.0000
Ba 4.5476 1.5150 0.0000
Al -0.3204 1.5150 3.0751
Al 4.2272 0.0000 3.0751
Cr 1.7153 0.0000 3.7818
Cr 2.1915 1.5150 2.3684
Cr 6.2629 1.5150 3.7818
Cr 6.7392 0.0000 2.3684

=====

Q | 4
Lattice="3.0116 0.0000 0.0000 0.0000 4.5411 0.0000 -0.8783 0.0000 6.3214" Properties=species:S:1:pos:R:3 comment="PBEsol BaAlCr2, optimized geometry" n_ef_per_ev_cell=4.4 vol_a3_per_cell=86.45 space_group=P2/m pbc="T T T"
Ba 0.0000 0.0000 0.0000
Al 1.0666 0.0000 3.1607
Cr 0.2883 2.2705 3.9079
Cr 1.8449 2.2705 2.4134

=====

P wins, 0.043 eV/atom ahead of the next structure.